No. 1
VASP calculation (PBE-GGA) on an optimized crystal structure of Li2CdPb.

## Properties
E_tot, eV per atom: -2.368
Mass density, g/cm³: 7.02
Symmetry: P4/mmm

Cell: 3.386 3.386 6.882 Å, 90.00 90.00 90.00°
Sites, in units of the cell vectors:
Cd 0.000 0.000 0.500
Li 0.500 0.500 0.263
Li 0.500 0.500 0.737
Pb 0.000 0.000 0.000

No. 2
VASP calculation (PBE-GGA) on an optimized crystal structure of Pr2SmFe2B2N3.

## Properties
E_tot, eV per atom: -7.886
Total moment, μB/f.u.: 2.47
Mass density, g/cm³: 7.53
Symmetry: I4/mmm

Cell: 10.651 10.651 10.651 Å, 160.54 160.54 27.65°
Sites, in units of the cell vectors:
B 0.189 0.189 0.000
B 0.811 0.811 0.000
Fe 0.750 0.250 0.500
Fe 0.250 0.750 0.500
N 0.118 0.118 0.000
N 0.500 0.500 0.000
N 0.882 0.882 0.000
Pr 0.375 0.375 0.000
Pr 0.625 0.625 0.000
Sm 0.000 0.000 0.000

No. 3
VASP calculation (PBE-GGA) on an optimized crystal structure of PmTcO3.

## Properties
E_tot, eV per atom: -8.225
Total moment, μB/f.u.: 1.94
Mass density, g/cm³: 7.88
Symmetry: Pnma

Cell: 5.357 5.911 7.749 Å, 90.00 90.00 90.00°
Sites, in units of the cell vectors:
O 0.683 0.303 0.053
O 0.817 0.803 0.053
O 0.123 0.457 0.250
O 0.377 0.957 0.250
O 0.683 0.303 0.447
O 0.817 0.803 0.447
O 0.183 0.197 0.553
O 0.317 0.697 0.553
O 0.623 0.043 0.750
O 0.877 0.543 0.750
O 0.183 0.197 0.947
O 0.317 0.697 0.947
Pm 0.968 0.080 0.250
Pm 0.532 0.580 0.250
Pm 0.468 0.420 0.750
Pm 0.032 0.920 0.750
Tc 0.500 0.000 0.000
Tc 0.000 0.500 0.000
Tc 0.500 0.000 0.500
Tc 0.000 0.500 0.500

No. 4
VASP calculation (PBE-GGA) on an optimized crystal structure of Al3HgN.

## Properties
E_tot, eV per atom: -3.865
Mass density, g/cm³: 6.87
Symmetry: Pm-3m

Cell: 4.150 4.150 4.150 Å, 90.00 90.00 90.00°
Sites, in units of the cell vectors:
Al 0.500 0.500 0.000
Al 0.500 0.000 0.500
Al 0.000 0.500 0.500
Hg 0.000 0.000 0.000
N 0.500 0.500 0.500

No. 5
VASP calculation (PBE-GGA) on an optimized crystal structure of CsBeSnAu.

## Properties
E_tot, eV per atom: -2.311
Mass density, g/cm³: 7.05
Symmetry: F-43m

Cell: 5.341 5.341 5.341 Å, 60.00 60.00 60.00°
Sites, in units of the cell vectors:
Au 0.750 0.750 0.750
Be 0.250 0.250 0.250
Cs 0.500 0.500 0.500
Sn 0.000 0.000 0.000

No. 6
VASP calculation (PBE-GGA) on an optimized crystal structure of Ba2MgPtN6.

## Properties
E_tot, eV per atom: -5.471
Total moment, μB/f.u.: 1.22
Mass density, g/cm³: 6.92
Symmetry: Fm-3m

Cell: 5.810 5.810 5.810 Å, 60.00 60.00 60.00°
Sites, in units of the cell vectors:
Ba 0.250 0.250 0.250
Ba 0.750 0.750 0.750
Mg 0.000 0.000 0.000
N 0.745 0.255 0.255
N 0.255 0.745 0.255
N 0.745 0.745 0.255
N 0.255 0.255 0.745
N 0.745 0.255 0.745
N 0.255 0.745 0.745
Pt 0.500 0.500 0.500